Entry 1:
# PBE-GGA K3Pr2IrO6, relaxed
data_K3Pr2IrO6
_chemical_formula_sum 'K6 Pr4 Ir2 O12'
_cell_length_a 6.041
_cell_length_b 10.428
_cell_length_c 6.596
_cell_angle_alpha 90.00
_cell_angle_beta 107.45
_cell_angle_gamma 90.00
_symmetry_space_group_name_H-M 'C 1 2/m 1'
_symmetry_Int_Tables_number 12
_symmetry_space_group_name_Hall '-C 2y'
loop_
_atom_site_label
_atom_site_type_symbol
_atom_site_fract_x
_atom_site_fract_y
_atom_site_fract_z
K1 K 0.000 0.000 0.000
K2 K 0.000 0.341 0.000
Pr1 Pr 0.000 0.168 0.500
Ir1 Ir 0.000 0.500 0.500
O1 O 0.217 0.347 0.693
O2 O 0.244 0.500 0.309
# Density of states at the Fermi level (states/eV/f.u.): 0.0
# Formation energy without anion corrections (eV per atom): -1.923


Entry 2:
# PBE-GGA K2PrIr3O12, relaxed
data_K2PrIr3O12
_chemical_formula_sum 'K6 Pr3 Ir9 O36'
_cell_length_a 7.4023
_cell_length_b 7.4023
_cell_length_c 15.9254
_cell_angle_alpha 90.00
_cell_angle_beta 90.00
_cell_angle_gamma 120.00
_symmetry_space_group_name_H-M 'R -3 m'
_symmetry_Int_Tables_number 166
_symmetry_space_group_name_Hall '-R 3 2"'
loop_
_atom_site_label
_atom_site_type_symbol
_atom_site_fract_x
_atom_site_fract_y
_atom_site_fract_z
K1 K 0.0000 0.0000 0.1005
Pr1 Pr 0.0000 0.0000 0.5000
Ir1 Ir 0.0000 0.5000 0.0000
O1 O 0.0517 0.5258 0.8862
O2 O 0.0761 0.5380 0.3064
# Density of states at the Fermi level (states/eV/f.u.): 12.8
# Formation energy without anion corrections (eV per atom): -1.137


Entry 3:
# PBE-GGA KPr2IrO6, relaxed
data_KPr2IrO6
_chemical_formula_sum 'K2 Pr4 Ir2 O12'
_cell_length_a 5.671
_cell_length_b 6.232
_cell_length_c 10.693
_cell_angle_alpha 90.00
_cell_angle_beta 121.93
_cell_angle_gamma 90.00
_symmetry_space_group_name_H-M 'P 1 21/c 1'
_symmetry_Int_Tables_number 14
_symmetry_space_group_name_Hall '-P 2ybc'
loop_
_atom_site_label
_atom_site_type_symbol
_atom_site_fract_x
_atom_site_fract_y
_atom_site_fract_z
K1 K 0.000 0.000 0.000
Pr1 Pr 0.214 0.004 0.716
Ir1 Ir 0.500 0.000 0.500
O1 O 0.197 0.150 0.498
O2 O 0.206 0.703 0.848
O3 O 0.478 0.188 0.339
# Density of states at the Fermi level (states/eV/f.u.): 4.7
# Formation energy without anion corrections (eV per atom): -2.123


Entry 4:
# PBE-GGA KPr2IrO8, relaxed
data_KPr2IrO8
_chemical_formula_sum 'K1 Pr2 Ir1 O8'
_cell_length_a 4.298
_cell_length_b 5.351
_cell_length_c 7.380
_cell_angle_alpha 90.00
_cell_angle_beta 73.55
_cell_angle_gamma 89.99
_symmetry_space_group_name_H-M 'P -1'
_symmetry_Int_Tables_number 2
_symmetry_space_group_name_Hall '-P 1'
loop_
_atom_site_label
_atom_site_type_symbol
_atom_site_fract_x
_atom_site_fract_y
_atom_site_fract_z
K1 K 0.000 0.000 0.000
Pr1 Pr 0.372 0.500 0.291
Ir1 Ir 0.000 0.000 0.500
O1 O 0.170 0.500 0.003
O2 O 0.191 0.268 0.608
O3 O 0.192 0.734 0.609
O4 O 0.351 0.999 0.272
# Density of states at the Fermi level (states/eV/f.u.): 6.1
# Formation energy without anion corrections (eV per atom): -1.781


Entry 5:
# PBE-GGA K2IrPtO4, relaxed
data_K2IrPtO4
_chemical_formula_sum 'K4 Ir2 Pt2 O8'
_cell_length_a 7.171
_cell_length_b 7.062
_cell_length_c 6.400
_cell_angle_alpha 90.00
_cell_angle_beta 122.93
_cell_angle_gamma 90.00
_symmetry_space_group_name_H-M 'C 1 2 1'
_symmetry_Int_Tables_number 5
_symmetry_space_group_name_Hall 'C 2y'
loop_
_atom_site_label
_atom_site_type_symbol
_atom_site_fract_x
_atom_site_fract_y
_atom_site_fract_z
K1 K 0.000 0.000 0.000
K2 K 0.000 0.261 0.500
Ir1 Ir 0.000 0.501 0.000
Pt1 Pt 0.000 0.752 0.500
O1 O 0.088 0.700 0.249
O2 O 0.170 0.299 0.241
# Density of states at the Fermi level (states/eV/f.u.): 5.1
# Formation energy without anion corrections (eV per atom): -0.774


Entry 6:
# PBE-GGA KIrPtO6, relaxed
data_KIrPtO6
_chemical_formula_sum 'K1 Ir1 Pt1 O6'
_cell_length_a 5.3490
_cell_length_b 5.3490
_cell_length_c 5.8900
_cell_angle_alpha 90.00
_cell_angle_beta 90.00
_cell_angle_gamma 120.00
_symmetry_space_group_name_H-M 'P 3 1 2'
_symmetry_Int_Tables_number 149
_symmetry_space_group_name_Hall 'P 3 2'
loop_
_atom_site_label
_atom_site_type_symbol
_atom_site_fract_x
_atom_site_fract_y
_atom_site_fract_z
K1 K 0.0000 0.0000 0.0000
Ir1 Ir 0.3333 0.6667 0.5000
Pt1 Pt 0.6667 0.3333 0.5000
O1 O 0.0074 0.3991 0.3151
# Density of states at the Fermi level (states/eV/f.u.): 6.6
# Formation energy without anion corrections (eV per atom): -0.762


Entry 7:
# PBE-GGA KPuIrO6, relaxed
data_KPuIrO6
_chemical_formula_sum 'K4 Pu4 Ir4 O24'
_cell_length_a 7.242
_cell_length_b 7.794
_cell_length_c 10.529
_cell_angle_alpha 90.00
_cell_angle_beta 90.00
_cell_angle_gamma 90.00
_symmetry_space_group_name_H-M 'I m m a'
_symmetry_Int_Tables_number 74
_symmetry_space_group_name_Hall '-I 2b 2'
loop_
_atom_site_label
_atom_site_type_symbol
_atom_site_fract_x
_atom_site_fract_y
_atom_site_fract_z
K1 K 0.000 0.250 0.100
Pu1 Pu 0.000 0.000 0.500
Ir1 Ir 0.250 0.250 0.750
O1 O 0.000 0.250 0.424
O2 O 0.000 0.250 0.812
O3 O 0.201 0.068 0.624
# Density of states at the Fermi level (states/eV/f.u.): 4.9
# Formation energy without anion corrections (eV per atom): -1.734


Entry 8:
# PBE-GGA K2PuIr3O12, relaxed
data_K2PuIr3O12
_chemical_formula_sum 'K6 Pu3 Ir9 O36'
_cell_length_a 7.2177
_cell_length_b 7.2177
_cell_length_c 18.5571
_cell_angle_alpha 90.00
_cell_angle_beta 90.00
_cell_angle_gamma 120.00
_symmetry_space_group_name_H-M 'R -3 m'
_symmetry_Int_Tables_number 166
_symmetry_space_group_name_Hall '-R 3 2"'
loop_
_atom_site_label
_atom_site_type_symbol
_atom_site_fract_x
_atom_site_fract_y
_atom_site_fract_z
K1 K 0.0000 0.0000 0.1105
Pu1 Pu 0.0000 0.0000 0.5000
Ir1 Ir 0.0000 0.5000 0.0000
O1 O 0.0656 0.5328 0.1045
O2 O 0.0692 0.5346 0.3516
# Density of states at the Fermi level (states/eV/f.u.): 13.5
# Formation energy without anion corrections (eV per atom): -1.323